# 1
Sc2FeSn: optimized geometry, PBE.

Calculated values
As for the space group: No. 216. As for the crystal system: cubic. The final energy comes out at -6.45 eV/atom. The calculated volume is 71.00 Å³/cell.

```
Sc2FeSn
1.0
-3.544 -1.962 2.279
-1.673 1.991 3.853
-4.192 2.006 -0.053
Fe Sc Sn
1 2 1
direct
0.250 0.250 0.250
0.500 0.500 0.500
0.750 0.750 0.750
0.000 0.000 0.000
```

***

# 2
DyHoC3: optimized geometry, PBE.

Calculated values
As for the space group: No. 8. As for the crystal system: monoclinic. The final energy comes out at -7.59 eV/atom. The calculated volume is 69.80 Å³/cell.

```
DyHoC3
1.0
2.547 -2.546 0.000
2.547 2.546 0.000
-2.468 0.000 5.381
C Dy Ho
3 1 1
direct
0.131 0.131 0.257
0.868 0.868 0.742
0.999 0.999 0.999
0.344 0.344 0.695
0.657 0.657 0.307
```

***

# 3
Pt: optimized geometry, PBE.

Calculated values
As for the space group: No. 129. As for the crystal system: tetragonal. As for the relative energy among the computed polymorphs: 0.114 eV per formula unit. The final energy comes out at -5.94 eV/atom. The calculated volume is 326.25 Å³/cell. The formation energy is 0.114 eV/atom.

```
Pt
1.0
2.763 0.000 0.000
0.000 2.763 0.000
0.000 0.000 42.735
Pt
16
direct
0.000 0.500 0.147
0.500 0.000 0.193
0.000 0.500 0.240
0.500 0.000 0.287
0.000 0.500 0.335
0.500 0.000 0.382
0.000 0.500 0.429
0.500 0.000 0.476
0.000 0.500 0.524
0.500 0.000 0.571
0.000 0.500 0.618
0.500 0.000 0.665
0.000 0.500 0.713
0.500 0.000 0.760
0.000 0.500 0.807
0.500 0.000 0.853
```

***

# 4
Ba2FeGe: optimized geometry, PBE.

Calculated values
As for the space group: No. 216. As for the crystal system: cubic. The final energy comes out at -3.79 eV/atom. The calculated volume is 112.97 Å³/cell.

```
Ba2FeGe
1.0
0.000 3.837 3.837
3.837 0.000 3.837
3.837 3.837 0.000
Ba Fe Ge
2 1 1
direct
0.000 0.000 0.000
0.750 0.750 0.750
0.250 0.250 0.250
0.500 0.500 0.500
```

***

# 5
CsAgPdSe3: optimized geometry, PBE.

Calculated values
As for the space group: No. 63. As for the crystal system: orthorhombic. As for the relative energy among the computed polymorphs: 0.419 eV per formula unit. The final energy comes out at -3.58 eV/atom. The calculated volume is 328.48 Å³/cell.

```
CsAgPdSe3
1.0
-1.710 4.938 -6.358
-1.519 -3.032 7.499
5.940 7.523 4.246
Ag Cs Pd Se
2 2 2 6
direct
0.951 0.049 0.250
0.049 0.951 0.750
0.254 0.746 0.250
0.746 0.254 0.750
0.500 0.500 0.000
0.500 0.500 0.500
0.896 0.104 0.018
0.560 0.440 0.250
0.896 0.104 0.482
0.104 0.896 0.518
0.440 0.560 0.750
0.104 0.896 0.982
```

***

# 6
Nb2ReSn: optimized geometry, PBE.

Calculated values
As for the space group: No. 216. As for the crystal system: cubic. The final energy comes out at -9.02 eV/atom. The calculated volume is 71.19 Å³/cell.

```
Nb2ReSn
1.0
0.000 3.289 3.289
3.289 0.000 3.289
3.289 3.289 0.000
Nb Re Sn
2 1 1
direct
0.000 0.000 0.000
0.750 0.750 0.750
0.250 0.250 0.250
0.500 0.500 0.500
```